Entry 1:
Below is a geometry-optimized CdSb2TePt structure, with properties calculated at the PBEsol level.

Unit cell a=5.1524 b=5.1524 c=5.4561 alpha=90.00 beta=90.00 gamma=90.00
Fractional coordinates of all 5 atoms:
Pt1 0.0000 0.0000 0.0000
Sb1 0.0000 0.5000 0.0000
Sb2 0.5000 0.0000 0.0000
Te1 0.0000 0.0000 0.5000
Cd1 0.5000 0.5000 0.5000

ΔE_f (raw): 0.40 eV per atom
size of the total moment: 0.00 μB/cell
electronic total energy: -18.82 eV/cell



Entry 2:
Below is a geometry-optimized YP2RuCl structure, with properties calculated at the PBEsol level.

Unit cell a=4.5148 b=4.5148 c=4.8006 alpha=90.00 beta=90.00 gamma=90.00
Fractional coordinates of all 5 atoms:
Y1 0.5000 0.5000 0.5000
Cl1 0.0000 0.0000 0.5000
P1 0.5000 0.0000 0.0000
P2 0.0000 0.5000 0.0000
Ru1 0.0000 0.0000 0.0000

ΔE_f (raw): -0.27 eV per atom
size of the total moment: 0.00 μB/cell
electronic total energy: -31.96 eV/cell



Entry 3:
Below is a geometry-optimized K2TlCuB structure, with properties calculated at the PBEsol level.

Unit cell a=4.0789 b=6.5799 c=6.5799 alpha=90.00 beta=90.00 gamma=90.00
Fractional coordinates of all 5 atoms:
K1 0.0000 0.0000 0.5000
K2 0.0000 0.5000 0.0000
Tl1 0.0000 0.0000 0.0000
Cu1 0.5000 0.5000 0.5000
B1 0.5000 0.0000 0.0000

size of the total moment: 0.00 μB/cell
electronic total energy: -11.73 eV/cell



Entry 4:
Below is a geometry-optimized ScMnZn structure, with properties calculated at the PBEsol level.

Unit cell a=3.0947 b=3.0947 c=5.3921 alpha=106.68 beta=106.68 gamma=90.00
Last column: magnetic moment on the atom in μB.
Fractional coordinates of all 3 atoms:
Zn1 0.3522 0.3522 0.7044  -0.03
Sc1 0.6595 0.6595 0.3190  -0.30
Mn1 0.9883 0.9883 0.9766  2.74

size of the total moment: 2.32 μB/cell
electronic total energy: -18.01 eV/cell



Entry 5:
Below is a geometry-optimized Sr2CrAsAu structure, with properties calculated at the PBEsol level.

Unit cell a=4.8137 b=5.8991 c=5.8991 alpha=90.00 beta=90.00 gamma=90.00
Last column: magnetic moment on the atom in μB.
Fractional coordinates of all 5 atoms:
Sr1 0.0000 0.5000 0.0000  0.03
Sr2 0.0000 0.0000 0.5000  0.03
Au1 0.5000 0.0000 0.0000  0.00
As1 0.0000 0.0000 0.0000  0.02
Cr1 0.5000 0.5000 0.5000  4.20

size of the total moment: 5.36 μB/cell
electronic total energy: -21.98 eV/cell



Entry 6:
Below is a geometry-optimized YCI2 structure, with properties calculated at the PBEsol level.

Unit cell a=5.2114 b=5.2114 c=5.2114 alpha=60.00 beta=60.00 gamma=60.00
Last column: magnetic moment on the atom in μB.
Fractional coordinates of all 4 atoms:
C1 0.0000 0.0000 0.0000  1.02
Y1 0.5000 0.5000 0.5000  0.33
I1 0.7500 0.7500 0.7500  0.07
I2 0.2500 0.2500 0.2500  0.07

ΔE_f (raw): 0.72 eV per atom
size of the total moment: 2.96 μB/cell
electronic total energy: -17.11 eV/cell



Entry 7:
Below is a geometry-optimized KTl2Ag2 structure, with properties calculated at the PBEsol level.

Unit cell a=5.1013 b=5.1013 c=6.4161 alpha=113.42 beta=113.42 gamma=90.00
Fractional coordinates of all 5 atoms:
Ag1 0.2500 0.7500 0.5000
Ag2 0.7500 0.2500 0.5000
Tl1 0.6412 0.6412 0.2825
Tl2 0.3588 0.3588 0.7175
K1 0.0000 0.0000 0.0000

size of the total moment: 0.00 μB/cell
electronic total energy: -12.79 eV/cell



Entry 8:
Below is a geometry-optimized AlGa3Pb structure, with properties calculated at the PBEsol level.

Unit cell a=4.9144 b=4.9144 c=4.9144 alpha=90.00 beta=90.00 gamma=90.00
Fractional coordinates of all 5 atoms:
Pb1 0.5000 0.5000 0.5000
Ga1 0.5000 0.0000 0.0000
Ga2 0.0000 0.5000 0.0000
Ga3 0.0000 0.0000 0.5000
Al1 0.0000 0.0000 0.0000

size of the total moment: 0.00 μB/cell
electronic total energy: -16.41 eV/cell



Entry 9:
Below is a geometry-optimized LiAs2N structure, with properties calculated at the PBEsol level.

Unit cell a=5.5907 b=5.5907 c=5.5907 alpha=94.92 beta=117.20 gamma=117.20
Fractional coordinates of all 8 atoms:
As1 0.0769 0.7019 0.1250
As2 0.9231 0.0481 0.6250
As3 0.5769 0.8750 0.9519
As4 0.4231 0.3750 0.2981
N1 0.5000 0.7500 0.2500
N2 0.0000 0.0000 0.0000
Li1 0.0000 0.5000 0.5000
Li2 0.5000 0.2500 0.7500

ΔE_f (raw): 0.29 eV per atom
size of the total moment: 0.00 μB/cell
electronic total energy: -39.11 eV/cell



Entry 10:
Below is a geometry-optimized ScSbTe2N structure, with properties calculated at the PBEsol level.

Unit cell a=5.4244 b=5.4244 c=5.4375 alpha=90.00 beta=90.00 gamma=90.00
Last column: magnetic moment on the atom in μB.
Fractional coordinates of all 5 atoms:
N1 0.5000 0.5000 0.5000  1.80
Te1 0.5000 0.0000 0.0000  0.00
Te2 0.0000 0.5000 0.0000  0.00
Sc1 0.0000 0.0000 0.0000  0.01
Sb1 0.0000 0.0000 0.5000  -0.06

ΔE_f (raw): 0.97 eV per atom
size of the total moment: 2.58 μB/cell
electronic total energy: -21.87 eV/cell



Entry 11:
Below is a geometry-optimized Sc2TaPb structure, with properties calculated at the PBEsol level.

Unit cell a=3.0797 b=3.0797 c=9.2089 alpha=90.00 beta=90.00 gamma=90.00
Fractional coordinates of all 4 atoms:
Ta1 0.0000 0.0000 0.4978
Pb1 0.5000 0.5000 0.7411
Sc1 0.5000 0.5000 0.2670
Sc2 0.0000 0.0000 0.9941

size of the total moment: 0.00 μB/cell
electronic total energy: -29.23 eV/cell



Entry 12:
Below is a geometry-optimized OsRhW2 structure, with properties calculated at the PBEsol level.

Unit cell a=3.8696 b=3.8696 c=4.7847 alpha=113.85 beta=113.85 gamma=90.00
Fractional coordinates of all 4 atoms:
W1 0.7500 0.2500 0.5000
W2 0.5000 0.5000 0.0000
Rh1 0.2500 0.7500 0.5000
Os1 0.0000 0.0000 0.0000

size of the total moment: 0.00 μB/cell
electronic total energy: -47.88 eV/cell



Entry 13:
Below is a geometry-optimized Er6Al43W4 structure, with properties calculated at the PBEsol level.

Unit cell a=10.9003 b=10.9003 c=17.5558 alpha=90.00 beta=90.00 gamma=120.00
Fractional coordinates of all 106 atoms:
Al1 0.7628 0.6054 0.3368
Al2 0.4480 0.5958 0.7500
Al3 0.4042 0.8522 0.7500
Al4 0.1478 0.5958 0.2500
Al5 0.6054 0.7628 0.3368
Al6 0.8515 0.0000 0.7500
Al7 0.7628 0.1573 0.6632
Al8 0.2469 0.7531 0.5000
Al9 0.4480 0.8522 0.2500
Al10 0.0000 0.8397 0.1144
Al11 0.2372 0.8427 0.3368
Al12 0.6054 0.8427 0.8368
Al13 0.7531 0.5062 0.0000
Al14 0.5520 0.1478 0.7500
Al15 0.8397 0.0000 0.1144
Al16 0.7531 0.5062 0.5000
Al17 0.8522 0.4042 0.7500
Al18 0.0000 0.8515 0.7500
Al19 0.8397 0.0000 0.3856
Al20 0.2469 0.4938 0.0000
Al21 0.0000 0.2548 0.4700
Al22 0.0000 0.2548 0.0300
Al23 0.1603 0.1603 0.3856
Al24 0.6667 0.3333 0.6250
Al25 0.7452 0.7452 0.4700
Al26 0.8427 0.6054 0.8368
Al27 0.6667 0.3333 0.1250
Al28 0.6667 0.3333 0.3750
Al29 0.1485 0.1485 0.7500
Al30 0.0000 0.1485 0.2500
Al31 0.3946 0.1573 0.3368
Al32 0.3333 0.6667 0.6250
Al33 0.2372 0.3946 0.8368
Al34 0.0000 0.8397 0.3856
Al35 0.2548 0.0000 0.4700
Al36 0.5958 0.4480 0.7500
Al37 0.0000 0.1603 0.8856
Al38 0.7531 0.2469 0.0000
Al39 0.2548 0.2548 0.5300
Al40 0.7628 0.1573 0.8368
Al41 0.8522 0.4480 0.2500
Al42 0.7452 0.7452 0.0300
Al43 0.8515 0.8515 0.2500
Al44 0.5062 0.7531 0.5000
Al45 0.6054 0.8427 0.6632
Al46 0.0000 0.1603 0.6144
Al47 0.1603 0.0000 0.6144
Al48 0.4938 0.2469 0.5000
Al49 0.8397 0.8397 0.8856
Al50 0.7628 0.6054 0.1632
Al51 0.1478 0.5520 0.7500
Al52 0.3946 0.2372 0.6632
Al53 0.3333 0.6667 0.3750
Al54 0.7452 0.0000 0.5300
Al55 0.1573 0.3946 0.3368
Al56 0.7452 0.0000 0.9700
Al57 0.2469 0.4938 0.5000
Al58 0.0000 0.7452 0.5300
Al59 0.4042 0.5520 0.2500
Al60 0.5520 0.4042 0.2500
Al61 0.5062 0.7531 0.0000
Al62 0.2548 0.2548 0.9700
Al63 0.2548 0.0000 0.0300
Al64 0.0000 0.7452 0.9700
Al65 0.2372 0.3946 0.6632
Al66 0.8427 0.2372 0.1632
Al67 0.5958 0.1478 0.2500
Al68 0.1573 0.7628 0.6632
Al69 0.1603 0.0000 0.8856
Al70 0.2469 0.7531 0.0000
Al71 0.2372 0.8427 0.1632
Al72 0.8427 0.2372 0.3368
Al73 0.4938 0.2469 0.0000
Al74 0.1485 0.0000 0.2500
Al75 0.7531 0.2469 0.5000
Al76 0.8427 0.6054 0.6632
Al77 0.6667 0.3333 0.8750
Al78 0.6054 0.7628 0.1632
Al79 0.8397 0.8397 0.6144
Al80 0.1573 0.7628 0.8368
Al81 0.1603 0.1603 0.1144
Al82 0.1573 0.3946 0.1632
Al83 0.3946 0.2372 0.8368
Al84 0.3946 0.1573 0.1632
Al85 0.3333 0.6667 0.8750
Al86 0.3333 0.6667 0.1250
Er1 0.5324 0.5324 0.9045
Er2 0.4676 0.4676 0.0955
Er3 0.4676 0.0000 0.5955
Er4 0.0000 0.4676 0.5955
Er5 0.0000 0.4676 0.9045
Er6 0.0000 0.5324 0.0955
Er7 0.0000 0.5324 0.4045
Er8 0.4676 0.0000 0.9045
Er9 0.5324 0.0000 0.0955
Er10 0.5324 0.0000 0.4045
Er11 0.5324 0.5324 0.5955
Er12 0.4676 0.4676 0.4045
W1 0.0000 0.0000 0.0000
W2 0.0000 0.2716 0.7500
W3 0.2716 0.2716 0.2500
W4 0.0000 0.0000 0.5000
W5 0.7284 0.0000 0.2500
W6 0.7284 0.7284 0.7500
W7 0.0000 0.7284 0.2500
W8 0.2716 0.0000 0.7500

size of the total moment: 0.00 μB/cell
electronic total energy: -549.70 eV/cell



Entry 14:
Below is a geometry-optimized YCo2As structure, with properties calculated at the PBEsol level.

Unit cell a=3.7402 b=3.9191 c=4.7866 alpha=90.00 beta=90.00 gamma=90.00
Last column: magnetic moment on the atom in μB.
Fractional coordinates of all 4 atoms:
Co1 0.0000 0.5000 0.2322  0.69
Co2 0.0000 0.5000 0.7678  0.69
As1 0.5000 0.5000 0.5000  0.00
Y1 0.5000 0.0000 0.0000  -0.07

size of the total moment: 1.28 μB/cell
electronic total energy: -28.53 eV/cell



Entry 15:
Below is a geometry-optimized Y2AsOsBr structure, with properties calculated at the PBEsol level.

Unit cell a=4.4263 b=5.4400 c=5.4400 alpha=90.00 beta=90.00 gamma=90.00
Fractional coordinates of all 5 atoms:
Br1 0.5000 0.5000 0.5000
Y1 0.0000 0.5000 0.0000
Y2 0.0000 0.0000 0.5000
As1 0.0000 0.0000 0.0000
Os1 0.5000 0.0000 0.0000

ΔE_f (raw): -0.07 eV per atom
size of the total moment: 0.00 μB/cell
electronic total energy: -33.19 eV/cell



Entry 16:
Below is a geometry-optimized AlCr2Br structure, with properties calculated at the PBEsol level.

Unit cell a=5.8635 b=5.8635 c=5.8635 alpha=105.08 beta=105.08 gamma=118.67
Last column: magnetic moment on the atom in μB.
Fractional coordinates of all 8 atoms:
Al1 0.7500 0.2500 0.5000  -0.05
Al2 0.5000 0.5000 0.0000  -0.05
Cr1 0.8817 0.8750 0.5067  3.64
Cr2 0.6250 0.1183 0.9933  3.64
Cr3 0.3683 0.3750 0.4933  3.64
Cr4 0.1250 0.6317 0.0067  3.64
Br1 0.0000 0.0000 0.0000  0.07
Br2 0.2500 0.7500 0.5000  0.07

ΔE_f (raw): 0.83 eV per atom
size of the total moment: 16.28 μB/cell
electronic total energy: -46.24 eV/cell



Entry 17:
Below is a geometry-optimized AlCo2As structure, with properties calculated at the PBEsol level.

Unit cell a=4.0510 b=4.0510 c=4.0510 alpha=60.00 beta=60.00 gamma=60.00
Last column: magnetic moment on the atom in μB.
Fractional coordinates of all 4 atoms:
As1 0.5000 0.5000 0.5000  0.03
Al1 0.0000 0.0000 0.0000  -0.01
Co1 0.2500 0.2500 0.2500  0.78
Co2 0.7500 0.7500 0.7500  0.78

size of the total moment: 1.52 μB/cell
electronic total energy: -25.63 eV/cell



Entry 18:
Below is a geometry-optimized ZnIn2Co2 structure, with properties calculated at the PBEsol level.

Unit cell a=3.9192 b=6.1938 c=6.1938 alpha=90.00 beta=90.00 gamma=90.00
Fractional coordinates of all 10 atoms:
Co1 0.0000 0.8639 0.6361
Co2 0.0000 0.6361 0.1361
Co3 0.0000 0.1361 0.3639
Co4 0.0000 0.3639 0.8639
In1 0.5000 0.6676 0.8324
In2 0.5000 0.3324 0.1676
In3 0.5000 0.1676 0.6676
In4 0.5000 0.8324 0.3324
Zn1 0.0000 0.5000 0.5000
Zn2 0.0000 0.0000 0.0000

size of the total moment: 0.00 μB/cell
electronic total energy: -45.83 eV/cell



Entry 19:
Below is a geometry-optimized KN2OF structure, with properties calculated at the PBEsol level.

Unit cell a=3.9083 b=3.9083 c=4.9604 alpha=90.00 beta=90.00 gamma=90.00
Last column: magnetic moment on the atom in μB.
Fractional coordinates of all 5 atoms:
O1 0.0000 0.0000 0.5000  1.07
N1 0.0000 0.5000 0.0000  1.40
N2 0.5000 0.0000 0.0000  1.40
K1 0.5000 0.5000 0.5000  0.00
F1 0.0000 0.0000 0.0000  0.07

ΔE_f (raw): 1.69 eV per atom
size of the total moment: 5.43 μB/cell
electronic total energy: -16.94 eV/cell



Entry 20:
Below is a geometry-optimized NiRu2Pt structure, with properties calculated at the PBEsol level.

Unit cell a=2.6457 b=3.7630 c=5.2613 alpha=90.00 beta=90.00 gamma=90.00
Fractional coordinates of all 4 atoms:
Ru1 0.0000 0.0000 0.2319
Ru2 0.0000 0.0000 0.7681
Ni1 0.5000 0.5000 0.0000
Pt1 0.5000 0.5000 0.5000

size of the total moment: 0.00 μB/cell
electronic total energy: -32.99 eV/cell